1.
# TaSiAsSe2

A relaxed TaSiAsSe2 crystal (PBE, Alexandria via LeMat-Bulk).

Calculated values
SG = No. 123

a = 4.694 Å, b = 4.694 Å, c = 4.698 Å
α = 90.00°, β = 90.00°, γ = 90.00°
Atoms (fractional coordinates):
Ta1 0.000 0.000 0.000
Si1 0.500 0.500 0.500
As1 0.500 0.500 0.000
Se1 0.000 0.500 0.500
Se2 0.500 0.000 0.500

2.
# TaSiAsSe2

A relaxed TaSiAsSe2 crystal (PBE, Alexandria via LeMat-Bulk).

Calculated values
SG = No. 123

a = 4.949 Å, b = 4.949 Å, c = 5.156 Å
α = 90.00°, β = 90.00°, γ = 90.00°
Atoms (fractional coordinates):
Ta1 0.000 0.000 0.000
Si1 0.500 0.500 0.500
As1 0.000 0.000 0.500
Se1 0.000 0.500 0.000
Se2 0.500 0.000 0.000

3.
# Tb6SiAs2Se3

A relaxed Tb6SiAs2Se3 crystal (PBE, Alexandria via LeMat-Bulk).

Calculated values
SG = No. 12

a = 9.250 Å, b = 9.250 Å, c = 8.267 Å
α = 103.14°, β = 103.14°, γ = 25.77°
Atoms (fractional coordinates):
Tb1 0.002 0.002 0.239
Tb2 0.331 0.331 0.423
Tb3 0.339 0.339 0.913
Tb4 0.661 0.661 0.087
Tb5 0.669 0.669 0.577
Tb6 0.998 0.998 0.761
Si1 0.500 0.500 0.000
As1 0.167 0.167 0.334
As2 0.833 0.833 0.666
Se1 0.168 0.168 0.833
Se2 0.500 0.500 0.500
Se3 0.832 0.832 0.167

4.
# Tb4SiAs2Se

A relaxed Tb4SiAs2Se crystal (PBE, Alexandria via LeMat-Bulk).

Calculated values
SG = No. 10

a = 7.160 Å, b = 4.114 Å, c = 7.176 Å
α = 90.00°, β = 109.27°, γ = 90.00°
Atoms (fractional coordinates):
Tb1 0.246 0.000 0.241
Tb2 0.250 0.500 0.754
Tb3 0.750 0.500 0.246
Tb4 0.754 0.000 0.759
Si1 0.500 0.000 0.000
As1 0.000 0.000 0.500
As2 0.000 0.500 0.000
Se1 0.500 0.500 0.500

5.
# Tb6Si2AsSe3

A relaxed Tb6Si2AsSe3 crystal (PBE, Alexandria via LeMat-Bulk).

Calculated values
SG = No. 12

a = 9.253 Å, b = 9.253 Å, c = 8.296 Å
α = 103.15°, β = 103.15°, γ = 25.77°
Atoms (fractional coordinates):
Tb1 0.005 0.005 0.246
Tb2 0.330 0.330 0.424
Tb3 0.335 0.335 0.906
Tb4 0.665 0.665 0.094
Tb5 0.670 0.670 0.576
Tb6 0.995 0.995 0.754
Si1 0.167 0.167 0.333
Si2 0.833 0.833 0.667
As1 0.500 0.500 0.000
Se1 0.165 0.165 0.834
Se2 0.500 0.500 0.500
Se3 0.835 0.835 0.166

6.
# Tb8Si3AsSe4

A relaxed Tb8Si3AsSe4 crystal (PBE, Alexandria via LeMat-Bulk).

Calculated values
SG = No. 166

a = 8.297 Å, b = 8.297 Å, c = 8.297 Å
α = 59.66°, β = 59.66°, γ = 59.66°
Atoms (fractional coordinates):
Tb1 0.242 0.747 0.747
Tb2 0.246 0.246 0.246
Tb3 0.253 0.253 0.758
Tb4 0.253 0.758 0.253
Tb5 0.747 0.242 0.747
Tb6 0.747 0.747 0.242
Tb7 0.754 0.754 0.754
Tb8 0.758 0.253 0.253
Si1 0.000 0.000 0.500
Si2 0.000 0.500 0.000
Si3 0.500 0.000 0.000
As1 0.500 0.500 0.500
Se1 0.000 0.000 0.000
Se2 0.000 0.500 0.500
Se3 0.500 0.000 0.500
Se4 0.500 0.500 0.000

7.
# SiTcAs2Se

A relaxed SiTcAs2Se crystal (PBE, Alexandria via LeMat-Bulk).

Calculated values
SG = No. 123

a = 4.770 Å, b = 4.770 Å, c = 4.711 Å
α = 90.00°, β = 90.00°, γ = 90.00°
Atoms (fractional coordinates):
Si1 0.000 0.000 0.000
Tc1 0.000 0.000 0.500
As1 0.000 0.500 0.500
As2 0.500 0.000 0.500
Se1 0.500 0.500 0.000

8.
# SiTcAs2Se

A relaxed SiTcAs2Se crystal (PBE, Alexandria via LeMat-Bulk).

Calculated values
SG = No. 123

a = 4.718 Å, b = 4.718 Å, c = 4.744 Å
α = 90.00°, β = 90.00°, γ = 90.00°
Atoms (fractional coordinates):
Si1 0.000 0.000 0.000
Tc1 0.500 0.500 0.500
As1 0.000 0.500 0.000
As2 0.500 0.000 0.000
Se1 0.000 0.000 0.500

9.
# SiTcAs2Se

A relaxed SiTcAs2Se crystal (PBE, Alexandria via LeMat-Bulk).

Calculated values
SG = No. 123

a = 4.651 Å, b = 4.651 Å, c = 5.427 Å
α = 90.00°, β = 90.00°, γ = 90.00°
Atoms (fractional coordinates):
Si1 0.000 0.000 0.000
Tc1 0.500 0.500 0.500
As1 0.000 0.500 0.500
As2 0.500 0.000 0.500
Se1 0.500 0.500 0.000

10.
# SiTeAs2Se

A relaxed SiTeAs2Se crystal (PBE, Alexandria via LeMat-Bulk).

Calculated values
SG = No. 123

a = 4.892 Å, b = 4.892 Å, c = 4.747 Å
α = 90.00°, β = 90.00°, γ = 90.00°
Atoms (fractional coordinates):
Si1 0.000 0.000 0.000
Te1 0.500 0.500 0.500
As1 0.000 0.500 0.000
As2 0.500 0.000 0.000
Se1 0.000 0.000 0.500

11.
# SiTeAs2Se

A relaxed SiTeAs2Se crystal (PBE, Alexandria via LeMat-Bulk).

Calculated values
SG = No. 123

a = 5.304 Å, b = 5.304 Å, c = 5.303 Å
α = 90.00°, β = 90.00°, γ = 90.00°
Atoms (fractional coordinates):
Si1 0.000 0.000 0.000
Te1 0.500 0.500 0.500
As1 0.000 0.500 0.500
As2 0.500 0.000 0.500
Se1 0.500 0.500 0.000

12.
# Th4SiAs2Se

A relaxed Th4SiAs2Se crystal (PBE, Alexandria via LeMat-Bulk).

Calculated values
SG = No. 10

a = 7.352 Å, b = 4.245 Å, c = 7.368 Å
α = 90.00°, β = 109.40°, γ = 90.00°
Atoms (fractional coordinates):
Th1 0.242 0.000 0.246
Th2 0.242 0.500 0.749
Th3 0.758 0.000 0.754
Th4 0.758 0.500 0.251
Si1 0.000 0.500 0.000
As1 0.000 0.000 0.500
As2 0.500 0.500 0.500
Se1 0.500 0.000 0.000

13.
# Th6Si2AsSe3

A relaxed Th6Si2AsSe3 crystal (PBE, Alexandria via LeMat-Bulk).

Calculated values
SG = No. 12

a = 9.469 Å, b = 9.469 Å, c = 8.457 Å
α = 102.48°, β = 102.48°, γ = 26.02°
Atoms (fractional coordinates):
Th1 0.004 0.004 0.247
Th2 0.330 0.330 0.426
Th3 0.334 0.334 0.906
Th4 0.666 0.666 0.094
Th5 0.670 0.670 0.574
Th6 0.996 0.996 0.753
Si1 0.166 0.166 0.332
Si2 0.834 0.834 0.668
As1 0.500 0.500 0.000
Se1 0.166 0.166 0.833
Se2 0.500 0.500 0.500
Se3 0.834 0.834 0.167

14.
# Th6Si3AsSe2

A relaxed Th6Si3AsSe2 crystal (PBE, Alexandria via LeMat-Bulk).

Calculated values
SG = No. 12

a = 9.516 Å, b = 9.516 Å, c = 8.517 Å
α = 102.87°, β = 102.87°, γ = 25.83°
Atoms (fractional coordinates):
Th1 0.004 0.004 0.247
Th2 0.332 0.332 0.427
Th3 0.338 0.338 0.907
Th4 0.662 0.662 0.093
Th5 0.668 0.668 0.573
Th6 0.996 0.996 0.753
Si1 0.168 0.168 0.333
Si2 0.500 0.500 0.000
Si3 0.832 0.832 0.667
As1 0.500 0.500 0.500
Se1 0.167 0.167 0.834
Se2 0.833 0.833 0.166

15.
# Th6SiAs2Se3

A relaxed Th6SiAs2Se3 crystal (PBE, Alexandria via LeMat-Bulk).

Calculated values
SG = No. 12

a = 9.456 Å, b = 9.456 Å, c = 8.420 Å
α = 102.39°, β = 102.39°, γ = 26.07°
Atoms (fractional coordinates):
Th1 0.001 0.001 0.240
Th2 0.332 0.332 0.420
Th3 0.337 0.337 0.914
Th4 0.663 0.663 0.086
Th5 0.668 0.668 0.580
Th6 0.999 0.999 0.760
Si1 0.500 0.500 0.000
As1 0.167 0.167 0.334
As2 0.833 0.833 0.666
Se1 0.167 0.167 0.833
Se2 0.500 0.500 0.500
Se3 0.833 0.833 0.167

16.
# Th8Si3AsSe4

A relaxed Th8Si3AsSe4 crystal (PBE, Alexandria via LeMat-Bulk).

Calculated values
SG = No. 166

a = 8.481 Å, b = 8.481 Å, c = 8.481 Å
α = 60.23°, β = 60.23°, γ = 60.23°
Atoms (fractional coordinates):
Th1 0.240 0.748 0.748
Th2 0.244 0.244 0.244
Th3 0.252 0.252 0.760
Th4 0.252 0.760 0.252
Th5 0.748 0.240 0.748
Th6 0.748 0.748 0.240
Th7 0.756 0.756 0.756
Th8 0.760 0.252 0.252
Si1 0.000 0.000 0.500
Si2 0.000 0.500 0.000
Si3 0.500 0.000 0.000
As1 0.500 0.500 0.500
Se1 0.000 0.000 0.000
Se2 0.000 0.500 0.500
Se3 0.500 0.000 0.500
Se4 0.500 0.500 0.000

17.
# TiSiAsSe2

A relaxed TiSiAsSe2 crystal (PBE, Alexandria via LeMat-Bulk).

Calculated values
SG = No. 123

a = 4.886 Å, b = 4.886 Å, c = 4.966 Å
α = 90.00°, β = 90.00°, γ = 90.00°
Atoms (fractional coordinates):
Ti1 0.000 0.000 0.000
Si1 0.500 0.500 0.500
As1 0.000 0.000 0.500
Se1 0.000 0.500 0.000
Se2 0.500 0.000 0.000

18.
# TiSiAs2Se

A relaxed TiSiAs2Se crystal (PBE, Alexandria via LeMat-Bulk).

Calculated values
SG = No. 123

a = 4.700 Å, b = 4.700 Å, c = 4.787 Å
α = 90.00°, β = 90.00°, γ = 90.00°
Atoms (fractional coordinates):
Ti1 0.000 0.000 0.000
Si1 0.500 0.500 0.500
As1 0.000 0.500 0.500
As2 0.500 0.000 0.500
Se1 0.500 0.500 0.000

19.
# TiSiAs2Se

A relaxed TiSiAs2Se crystal (PBE, Alexandria via LeMat-Bulk).

Calculated values
SG = No. 123

a = 4.919 Å, b = 4.919 Å, c = 4.836 Å
α = 90.00°, β = 90.00°, γ = 90.00°
Atoms (fractional coordinates):
Ti1 0.000 0.000 0.000
Si1 0.500 0.500 0.500
As1 0.000 0.500 0.000
As2 0.500 0.000 0.000
Se1 0.000 0.000 0.500

20.
# TiSiAsSe2

A relaxed TiSiAsSe2 crystal (PBE, Alexandria via LeMat-Bulk).

Calculated values
SG = No. 123

a = 4.757 Å, b = 4.757 Å, c = 4.733 Å
α = 90.00°, β = 90.00°, γ = 90.00°
Atoms (fractional coordinates):
Ti1 0.000 0.000 0.000
Si1 0.500 0.500 0.500
As1 0.500 0.500 0.000
Se1 0.000 0.500 0.500
Se2 0.500 0.000 0.500

Number 1: VASP energy -24.921 eV per cell, E_form (uncorrected) 18.33 kcal/mol of atoms. Number 2: VASP energy -26.751 eV per cell, E_form (uncorrected) 9.89 kcal/mol of atoms. Number 3: VASP energy -72.177 eV per cell, E_form (uncorrected) -36.93 kcal/mol of atoms. Number 4: VASP energy -48.152 eV per cell, E_form (uncorrected) -32.93 kcal/mol of atoms. Number 5: VASP energy -71.341 eV per cell, E_form (uncorrected) -33.84 kcal/mol of atoms. Number 6: VASP energy -94.801 eV per cell, E_form (uncorrected) -33.01 kcal/mol of atoms. Number 7: VASP energy -26.825 eV per cell, E_form (uncorrected) 8.06 kcal/mol of atoms. Number 8: VASP energy -23.413 eV per cell, E_form (uncorrected) 23.80 kcal/mol of atoms. Number 9: VASP energy -25.006 eV per cell, E_form (uncorrected) 16.45 kcal/mol of atoms. Number 10: VASP energy -18.810 eV per cell, E_form (uncorrected) 11.71 kcal/mol of atoms. Number 11: VASP energy -15.415 eV per cell, E_form (uncorrected) 27.36 kcal/mol of atoms. Number 12: VASP energy -58.153 eV per cell, E_form (uncorrected) -29.60 kcal/mol of atoms. Number 13: VASP energy -85.929 eV per cell, E_form (uncorrected) -29.71 kcal/mol of atoms. Number 14: VASP energy -86.052 eV per cell, E_form (uncorrected) -26.22 kcal/mol of atoms. Number 15: VASP energy -86.384 eV per cell, E_form (uncorrected) -32.07 kcal/mol of atoms. Number 16: VASP energy -114.487 eV per cell, E_form (uncorrected) -29.22 kcal/mol of atoms. Number 17: VASP energy -24.003 eV per cell, E_form (uncorrected) 4.31 kcal/mol of atoms. Number 18: VASP energy -23.434 eV per cell, E_form (uncorrected) 12.30 kcal/mol of atoms. Number 19: VASP energy -24.408 eV per cell, E_form (uncorrected) 7.81 kcal/mol of atoms. Number 20: VASP energy -22.919 eV per cell, E_form (uncorrected) 9.30 kcal/mol of atoms.